Compound: Tb3TmGa3
Source: Alexandria
Functional: PBE-GGA
Structure: optimized geometry

Summary:
Theoretical density   8.22 Mg/m³
Energy of formation from the pure elements   -0.400 eV per atom
Total DFT energy (no corrections)   -60.483 eV per cell

abc: 4.8216 9.0969 9.0969
angles: 120.00 90.00 90.00
Last column: nearest neighbours and their distance in Å.
Atoms (fractional coordinates):
1 Tb 0.7500 0.2539 0.0129  4 Ga 2.93-3.04
2 Tb 0.2500 0.0129 0.7590  4 Ga 2.93-3.04
3 Tb 0.2500 0.2410 0.2539  4 Ga 2.93-3.04
4 Tb 0.2500 0.7461 0.9871  4 Ga 2.93-3.04
5 Tb 0.7500 0.9871 0.2410  4 Ga 2.93-3.04
6 Tb 0.7500 0.7590 0.7461  4 Ga 2.93-3.04
7 Ga 0.7500 0.4498 0.3920  4 Tb 2.93-3.04, 2 Ga 2.95, 1 Tm 3.16
8 Ga 0.2500 0.3920 0.9422  4 Tb 2.93-3.04, 2 Ga 2.95, 1 Tm 3.16
9 Ga 0.7500 0.6080 0.0578  4 Tb 2.93-3.04, 2 Ga 2.95, 1 Tm 3.16
10 Ga 0.2500 0.5502 0.6080  4 Tb 2.93-3.04, 2 Ga 2.95, 1 Tm 3.16
11 Ga 0.2500 0.0578 0.4498  4 Tb 2.93-3.04, 2 Ga 2.95, 1 Tm 3.16
12 Ga 0.7500 0.9422 0.5502  4 Tb 2.93-3.04, 2 Ga 2.95, 1 Tm 3.16
13 Tm 0.2500 0.6667 0.3333  9 Ga 3.16-3.32
14 Tm 0.7500 0.3333 0.6667  9 Ga 3.16-3.32